1.
5
Lattice="6.260 0.000 0.000 0.000 6.260 0.000 0.000 0.000 5.009" Properties=species:S:1:pos:R:3 comment="K2LiCaNi PBE relaxed" final_energy_ev_per_atom=-1.837 m_tot_mub_per_atom=0.0001 e_form_ev_per_atom=0.541 pbc="T T T"
K 0.000 3.130 0.000
K 3.130 0.000 0.000
Li 0.000 0.000 2.505
Ca 3.130 3.130 2.505
Ni 0.000 0.000 0.000

2.
4
Lattice="-1.903 2.932 5.656 1.903 -2.932 5.656 1.903 2.932 -5.656" Properties=species:S:1:pos:R:3 comment="Ba2TaP PBE relaxed" final_energy_ev_per_atom=-5.232 m_tot_mub_per_atom=0.1292 e_form_ev_per_atom=0.045 pbc="T T T"
Ba 0.000 0.000 0.000
Ba 0.000 2.932 2.044
Ta 0.000 0.000 4.243
P 1.903 0.000 2.746

3.
4
Lattice="1.434 -2.252 0.000 1.434 2.252 0.000 0.000 0.000 9.148" Properties=species:S:1:pos:R:3 comment="LiRe2Ru PBE relaxed" final_energy_ev_per_atom=-8.721 m_tot_mub_per_atom=0.0001 relative_energy_mev_per_atom=174 e_form_ev_per_atom=0.301 pbc="T T T"
Li 0.000 0.000 0.000
Re 0.000 0.000 4.512
Re 1.434 0.000 6.779
Ru 1.434 0.000 2.281

4.
14
Lattice="4.237 2.446 7.013 -4.237 2.446 7.013 0.000 -4.893 7.013" Properties=species:S:1:pos:R:3 comment="CaPrDy4Se8 PBE relaxed" final_energy_ev_per_atom=-5.585 m_tot_mub_per_atom=0.0000 pbc="T T T"
Ca 0.000 0.000 0.000
Pr 0.000 0.000 13.219
Dy -2.153 -1.243 9.657
Dy 0.000 0.000 5.308
Dy 2.153 -1.243 9.657
Dy 0.000 2.486 9.657
Se 0.000 -2.345 11.304
Se -2.031 1.173 11.304
Se 0.000 0.000 8.094
Se -1.993 -1.151 15.077
Se 2.031 1.173 11.304
Se 0.000 0.000 18.220
Se 1.993 -1.151 15.077
Se 0.000 2.301 15.077

5.
10
Lattice="5.430 0.000 0.000 0.000 5.430 0.000 0.000 0.000 3.947" Properties=species:S:1:pos:R:3 comment="LiTaO3 PBE relaxed" final_energy_ev_per_atom=-8.349 m_tot_mub_per_atom=0.0000 pbc="T T T"
Li 0.000 2.715 0.000
Li 2.715 0.000 0.000
Ta 0.000 0.000 1.974
Ta 2.715 2.715 1.974
O 0.000 0.000 0.000
O 0.972 1.742 1.974
O 1.742 4.457 1.974
O 2.715 2.715 0.000
O 3.687 0.972 1.974
O 4.457 3.687 1.974

6.
10
Lattice="5.382 0.000 0.000 -2.690 4.664 0.000 -0.004 -3.105 4.840" Properties=species:S:1:pos:R:3 comment="In2GaGeO6 PBE relaxed" final_energy_ev_per_atom=-5.758 m_tot_mub_per_atom=0.0000 pbc="T T T"
In 0.000 0.000 0.000
In -0.001 3.111 2.350
Ga 2.691 1.555 1.667
Ge -0.002 0.002 4.039
O -1.650 2.971 0.839
O -1.072 1.405 3.220
O 0.944 1.750 0.836
O 1.746 0.229 3.219
O 3.397 -0.055 0.839
O 4.700 -1.626 3.222

7.
5
Lattice="-2.177 2.177 5.166 2.177 -2.177 5.166 2.177 2.177 -5.166" Properties=species:S:1:pos:R:3 comment="YTi2Os2 PBE relaxed" final_energy_ev_per_atom=-9.002 m_tot_mub_per_atom=0.2980 relative_energy_mev_per_atom=322 e_form_ev_per_atom=-0.059 pbc="T T T"
Y 0.000 0.000 0.000
Ti 0.000 0.000 3.802
Ti 0.000 0.000 6.529
Os 2.177 0.000 2.583
Os 0.000 2.177 2.583

8.
7
Lattice="-2.571 2.571 8.696 2.571 -2.571 8.696 2.571 2.571 -8.696" Properties=species:S:1:pos:R:3 comment="Ba2Hf4V PBE relaxed" final_energy_ev_per_atom=-6.676 m_tot_mub_per_atom=0.0000 e_form_ev_per_atom=0.864 pbc="T T T"
Ba 0.000 0.000 2.629
Ba 0.000 0.000 14.763
Hf 2.571 0.000 0.000
Hf 0.000 0.000 6.344
Hf 0.000 2.571 0.000
Hf 0.000 0.000 11.047
V 0.000 0.000 8.696

9.
11
Lattice="-3.823 3.823 5.449 3.823 -3.823 5.449 3.823 3.823 -5.449" Properties=species:S:1:pos:R:3 comment="Pm6NdPt4 PBE relaxed" final_energy_ev_per_atom=-5.973 m_tot_mub_per_atom=0.0000 e_form_ev_per_atom=-0.751 pbc="T T T"
Pm 3.823 0.000 0.000
Pm 2.571 2.571 -3.216
Pm 1.252 1.252 2.233
Pm 0.000 3.823 0.000
Pm 1.252 -1.252 8.665
Pm -1.252 1.252 8.665
Nd 0.000 0.000 5.449
Pt 1.539 1.539 -0.770
Pt 2.284 -2.284 6.219
Pt 2.284 2.284 4.679
Pt -2.284 2.284 6.219

10.
4
Lattice="1.877 1.083 9.771 -1.877 1.083 9.771 0.000 -2.167 9.771" Properties=species:S:1:pos:R:3 comment="Ho2ScAs PBE relaxed" final_energy_ev_per_atom=-5.313 m_tot_mub_per_atom=0.1384 e_form_ev_per_atom=-0.279 pbc="T T T"
Ho 0.000 0.000 3.160
Ho 0.000 0.000 26.153
Sc 0.000 0.000 0.000
As 0.000 0.000 14.657

11.
12
Lattice="9.933 -2.239 0.000 9.933 2.239 0.000 -2.347 0.000 8.822" Properties=species:S:1:pos:R:3 comment="Sr3Y2TmTe6 PBE relaxed" final_energy_ev_per_atom=-4.927 m_tot_mub_per_atom=0.0000 pbc="T T T"
Sr 0.000 0.000 0.000
Sr 5.035 0.000 5.875
Sr 12.485 0.000 2.947
Y 6.197 0.000 1.428
Y 11.322 0.000 7.394
Tm -1.173 0.000 4.411
Te 1.795 0.000 5.237
Te 3.194 0.000 0.660
Te 9.227 0.000 2.334
Te 8.292 0.000 6.488
Te 14.326 0.000 8.162
Te 15.724 0.000 3.585

12.
3
Lattice="4.611 0.000 0.000 -2.306 3.994 0.000 0.000 0.000 4.484" Properties=species:S:1:pos:R:3 comment="CaLaRu PBE relaxed" final_energy_ev_per_atom=-5.313 m_tot_mub_per_atom=0.0000 relative_energy_mev_per_atom=151 e_form_ev_per_atom=0.089 pbc="T T T"
Ca 0.000 0.000 0.000
La 2.306 1.331 2.242
Ru 0.000 2.662 2.242

13.
12
Lattice="4.771 0.000 0.000 -2.385 4.132 0.000 0.000 0.000 6.917" Properties=species:S:1:pos:R:3 comment="Na2AcH8Pt PBE relaxed" final_energy_ev_per_atom=-3.635 m_tot_mub_per_atom=0.0000 pbc="T T T"
Na 0.000 2.754 2.502
Na 2.385 1.377 4.415
Ac 0.000 0.000 0.000
H 0.000 1.327 4.513
H -1.236 3.468 4.513
H 1.149 0.663 2.404
H 0.000 2.754 0.281
H 2.385 1.377 6.636
H 1.236 3.468 4.513
H 3.622 0.663 2.404
H 2.385 2.805 2.404
Pt 0.000 0.000 3.459

14.
3
Lattice="-1.694 2.338 6.576 1.694 -2.338 6.576 1.694 2.338 -6.576" Properties=species:S:1:pos:R:3 comment="KScIn PBE relaxed" final_energy_ev_per_atom=-3.307 m_tot_mub_per_atom=0.1322 relative_energy_mev_per_atom=0 e_form_ev_per_atom=0.082 pbc="T T T"
K 0.000 0.000 0.000
Sc 0.000 0.000 9.604
In 0.000 0.000 3.815

15.
16
Lattice="4.568 2.637 8.912 -4.568 2.637 8.912 0.000 -5.275 8.912" Properties=species:S:1:pos:R:3 comment="Cs4CeTm3Te8 PBE relaxed" final_energy_ev_per_atom=-4.341 m_tot_mub_per_atom=0.0632 pbc="T T T"
Cs 0.000 0.000 0.000
Cs -2.284 -1.319 8.912
Cs -2.284 1.319 17.823
Cs 0.000 2.637 8.912
Ce 0.000 0.000 13.367
Tm -4.568 0.000 13.367
Tm -2.284 1.319 4.456
Tm 2.284 1.319 4.456
Te -2.355 -1.360 15.059
Te 0.000 0.000 6.114
Te 0.000 -2.720 11.676
Te -2.355 1.360 11.676
Te 2.355 -1.360 15.059
Te 0.000 2.720 15.059
Te 0.000 0.000 20.621
Te 2.355 1.360 11.676

16.
4
Lattice="2.596 -4.102 0.000 2.596 4.102 0.000 0.000 0.000 2.763" Properties=species:S:1:pos:R:3 comment="AlRe2Ir PBE relaxed" final_energy_ev_per_atom=-9.430 m_tot_mub_per_atom=0.0000 e_form_ev_per_atom=-0.056 pbc="T T T"
Al 0.000 0.000 0.000
Re 1.298 2.051 1.381
Re 1.298 -2.051 1.381
Ir 2.596 0.000 0.000

17.
20
Lattice="6.981 0.000 0.000 0.000 6.678 0.000 -6.809 0.000 8.741" Properties=species:S:1:pos:R:3 comment="Hf6Ir3Os PBE relaxed" final_energy_ev_per_atom=-10.245 m_tot_mub_per_atom=0.0000 e_form_ev_per_atom=-0.492 pbc="T T T"
Hf -1.512 0.474 2.196
Hf -4.917 2.865 6.567
Hf 1.113 4.360 0.583
Hf -2.292 5.657 4.954
Hf 2.362 1.074 0.580
Hf -1.043 2.265 4.951
Hf 1.214 4.413 3.790
Hf -2.191 5.604 8.161
Hf 2.463 1.021 3.787
Hf -0.942 2.318 8.158
Hf 5.088 3.813 2.175
Hf 1.683 6.205 6.545
Ir 0.000 0.000 0.000
Ir -3.405 3.339 4.371
Ir -3.048 0.995 6.748
Ir 0.357 2.344 2.377
Ir -0.186 4.334 6.364
Ir 3.219 5.683 1.993
Os 0.086 0.000 4.371
Os 3.490 3.339 0.000

18.
19
Lattice="5.914 3.414 2.689 -5.914 3.414 2.689 0.000 -6.829 2.689" Properties=species:S:1:pos:R:3 comment="Ge6SbPd12 PBE relaxed" final_energy_ev_per_atom=-5.315 m_tot_mub_per_atom=0.0000 pbc="T T T"
Ge 0.000 -2.940 3.291
Ge -2.546 1.470 3.291
Ge -2.546 -1.470 4.776
Ge 2.546 1.470 3.291
Ge 2.546 -1.470 4.776
Ge 0.000 2.940 4.776
Sb 0.000 0.000 0.000
Pd -2.211 -3.830 4.033
Pd -4.422 0.000 4.033
Pd -1.463 -0.845 2.587
Pd 1.463 -0.845 2.587
Pd 0.000 1.690 2.587
Pd 2.211 -3.830 4.033
Pd -2.211 3.830 4.033
Pd 0.000 -1.690 5.480
Pd -1.463 0.845 5.480
Pd 1.463 0.845 5.480
Pd 4.422 0.000 4.033
Pd 2.211 3.830 4.033

19.
18
Lattice="5.020 -7.721 0.000 5.020 7.721 0.000 -1.535 0.000 3.742" Properties=species:S:1:pos:R:3 comment="GaTe2O6 PBE relaxed" final_energy_ev_per_atom=-5.432 m_tot_mub_per_atom=0.0000 relative_energy_mev_per_atom=0 pbc="T T T"
Ga 3.869 4.622 2.806
Ga 4.636 -4.622 0.935
Te 2.714 1.767 1.264
Te 1.946 -1.767 3.135
Te 6.559 1.767 0.607
Te 5.791 -1.767 2.478
O 2.475 5.767 3.261
O 3.197 3.590 1.412
O 5.262 5.767 2.351
O 2.201 1.388 3.251
O 6.076 3.590 0.459
O 2.968 -1.388 1.380
O 5.537 1.388 2.361
O 2.429 -3.590 3.283
O 6.304 -1.388 0.490
O 3.242 -5.767 1.390
O 5.308 -3.590 2.330
O 6.030 -5.767 0.481

20.
16
Lattice="2.855 0.000 0.000 0.707 9.359 0.000 0.623 0.090 9.543" Properties=species:S:1:pos:R:3 comment="TiZnO2 PBE relaxed" final_energy_ev_per_atom=-6.768 m_tot_mub_per_atom=0.0000 pbc="T T T"
Ti 0.654 3.527 3.050
Ti 2.115 8.097 8.963
Ti 2.069 1.352 0.580
Ti 3.531 5.922 6.493
Zn 0.680 1.606 7.208
Zn 2.095 6.651 4.128
Zn 2.090 2.798 5.416
Zn 3.505 7.843 2.335
O 1.268 2.260 9.175
O 0.666 0.069 1.173
O 2.100 6.990 7.416
O 2.100 4.661 6.444
O 2.085 4.788 3.099
O 2.085 2.459 2.128
O 3.519 9.380 8.370
O 2.916 7.189 0.369

21.
5
Lattice="3.932 0.000 0.000 0.000 3.932 0.000 0.000 0.000 3.632" Properties=species:S:1:pos:R:3 comment="AsAuN2O PBE relaxed" final_energy_ev_per_atom=-4.715 m_tot_mub_per_atom=0.2032 pbc="T T T"
As 0.000 0.000 0.000
Au 1.966 1.966 1.816
N 0.000 1.966 0.000
N 1.966 0.000 0.000
O 0.000 0.000 1.816

22.
12
Lattice="4.680 0.000 0.000 0.000 7.405 0.000 0.000 0.000 7.860" Properties=species:S:1:pos:R:3 comment="CeGaAg PBE relaxed" final_energy_ev_per_atom=-4.242 m_tot_mub_per_atom=0.4042 e_form_ev_per_atom=-0.304 pbc="T T T"
Ce 0.000 1.816 0.350
Ce 0.000 5.589 7.510
Ce 2.340 1.816 3.580
Ce 2.340 5.589 4.280
Ga 0.000 3.409 5.223
Ga 0.000 3.996 2.637
Ga 2.340 3.409 6.567
Ga 2.340 3.996 1.293
Ag 0.000 0.536 5.196
Ag 0.000 6.869 2.664
Ag 2.340 0.536 6.594
Ag 2.340 6.869 1.266

23.
5
Lattice="4.541 0.000 0.000 0.000 4.541 0.000 0.000 0.000 4.541" Properties=species:S:1:pos:R:3 comment="TaAlZn3 PBE relaxed" final_energy_ev_per_atom=-2.815 m_tot_mub_per_atom=0.0000 relative_energy_mev_per_atom=0 e_form_ev_per_atom=1.068 pbc="T T T"
Ta 0.000 0.000 0.000
Al 2.270 2.270 2.270
Zn 0.000 2.270 2.270
Zn 2.270 0.000 2.270
Zn 2.270 2.270 0.000